[1]
Here is crystalline Li14Re2N9 at its relaxed geometry from Alexandria. Energies are from PBE-GGA.

Summary:
Formation energy (no corrections): -1406 kJ/mol of formula units
Raw total energy: -141.19 eV/f.u.
D(E_F): 0.265 states/eV/atom
SG: P-3, No. 147

Lattice parameters (Å, degrees): 5.9843 5.9843 8.4677 90.00 90.00 120.00
With the nearest neighbours (Å) after each atom.
Positions (direct):
N1 0.6895 0.0523 0.6630  1 Re 1.87, 1 Li 2.02
N2 0.3333 0.6667 0.0430  1 Re 1.84
N3 0.3628 0.3105 0.6630  1 Re 1.87, 1 Li 2.02
N4 0.6667 0.3333 0.9570  1 Re 1.84
N5 0.3105 0.9477 0.3370  1 Re 1.87, 1 Li 2.02
N6 0.0523 0.3628 0.3370  1 Re 1.87, 1 Li 2.02
N7 0.0000 0.0000 0.0000  8 Li 2.01-2.06
N8 0.6372 0.6895 0.3370  1 Re 1.87, 1 Li 2.02
N9 0.9477 0.6372 0.6630  1 Re 1.87, 1 Li 2.02
Li1 0.0000 0.0000 0.7623  4 N 2.01-2.20
Li2 0.7022 0.6538 0.0816  4 N 2.06-2.27
Li3 0.9516 0.2978 0.0816  4 N 2.06-2.27
Li4 0.6278 0.7046 0.5885  4 N 2.02-2.24
Li5 0.3462 0.0484 0.0816  4 N 2.06-2.27
Li6 0.0484 0.7022 0.9184  4 N 2.06-2.27
Li7 0.7046 0.0768 0.4115  4 N 2.02-2.24
Li8 0.2978 0.3462 0.9184  4 N 2.06-2.27
Li9 0.6538 0.9516 0.9184  4 N 2.06-2.27
Li10 0.9232 0.6278 0.4115  4 N 2.02-2.24
Li11 0.2954 0.9232 0.5885  4 N 2.02-2.24
Li12 0.0768 0.3722 0.5885  4 N 2.02-2.24
Li13 0.3722 0.2954 0.4115  4 N 2.02-2.24
Li14 0.0000 0.0000 0.2377  4 N 2.01-2.20
Re1 0.3333 0.6667 0.2605  4 N 1.84-1.87
Re2 0.6667 0.3333 0.7395  4 N 1.84-1.87

***

[2]
Here is crystalline Li5ReN4 at its relaxed geometry from Alexandria. Energies are from PBE-GGA.

Summary:
Formation energy (no corrections): -262 kJ/mol of formula units
Raw total energy: -58.04 eV/f.u.
D(E_F): 0.156 states/eV/atom
SG: C2/m, No. 12

Lattice parameters (Å, degrees): 3.0220 5.3996 7.0708 125.64 102.34 90.00
With the nearest neighbours (Å) after each atom.
Positions (direct):
Li1 0.2040 0.2821 0.4080  3 N 1.93-1.96
Li2 0.1722 0.7981 0.3443  4 N 2.02-2.11
Li3 0.8278 0.2019 0.6557  4 N 2.02-2.11
Li4 0.7960 0.7179 0.5920  3 N 1.93-1.96
Li5 0.5000 0.5000 0.0000  6 N 2.17-2.32
N1 0.9231 0.6669 0.8462  2 Li 1.93-2.02, 2 Re 2.09
N2 0.6415 0.9948 0.2830  6 Li 1.96-2.17, 1 Re 1.97
N3 0.3585 0.0052 0.7170  6 Li 1.96-2.17, 1 Re 1.97
N4 0.0769 0.3331 0.1538  2 Li 1.93-2.02, 2 Re 2.09
Re1 0.5000 0.0000 0.0000  6 N 1.97-2.09

***

[3]
Here is crystalline LiReN3 at its relaxed geometry from Alexandria. Energies are from PBE-GGA.

Summary:
Formation energy (no corrections): 141 kJ/mol of formula units
Raw total energy: -37.87 eV/f.u.
D(E_F): 0.433 states/eV/atom
SG: Pm-3m, No. 221

Lattice parameters (Å, degrees): 3.8744 3.8744 3.8744 90.00 90.00 90.00
With the nearest neighbours (Å) after each atom.
Positions (direct):
Re1 0.0000 0.0000 0.0000  6 N 1.94
N1 0.5000 0.0000 0.0000  2 Re 1.94
N2 0.0000 0.0000 0.5000  2 Re 1.94
N3 0.0000 0.5000 0.0000  2 Re 1.94
Li1 0.5000 0.5000 0.5000  12 N 2.74

***

[4]
Here is crystalline Li3ReN3 at its relaxed geometry from Alexandria. Energies are from PBE-GGA.

Summary:
Formation energy (no corrections): -325 kJ/mol of formula units
Raw total energy: -46.54 eV/f.u.
SG: C2/m, No. 12

Lattice parameters (Å, degrees): 5.6148 5.7366 5.7366 114.88 85.42 85.42
With the nearest neighbours (Å) after each atom.
Positions (direct):
Li1 0.0000 0.2752 0.7248  2 N 2.02
Li2 0.0000 0.7248 0.2752  2 N 2.02
Li3 0.6489 0.6224 0.6224  1 N 1.94
Li4 0.5000 0.1935 0.8065  2 N 2.14
Li5 0.3511 0.3776 0.3776  1 N 1.94
Li6 0.5000 0.8065 0.1935  2 N 2.14
Re1 0.1453 0.8058 0.8058  4 N 1.80-2.00
Re2 0.8547 0.1942 0.1942  4 N 1.80-2.00
N1 0.2616 0.8137 0.5080  1 Re 1.80, 1 Li 2.02
N2 0.2616 0.5080 0.8137  1 Re 1.80, 1 Li 2.02
N3 0.7873 0.8920 0.8920  1 Li 1.94, 2 Re 1.96-2.00
N4 0.7384 0.4920 0.1863  1 Re 1.80, 1 Li 2.02
N5 0.2127 0.1080 0.1080  1 Li 1.94, 2 Re 1.96-2.00
N6 0.7384 0.1863 0.4920  1 Re 1.80, 1 Li 2.02

***

[5]
Here is crystalline LiReN2 at its relaxed geometry from Alexandria. Energies are from PBE-GGA.

Summary:
Formation energy (no corrections): -68 kJ/mol of formula units
Energy relative to the lowest polymorph listed for this composition: 0.064 eV/atom
Raw total energy: -31.72 eV/f.u.
D(E_F): 0.346 states/eV/atom
SG: R3m, No. 160

Lattice parameters (Å, degrees): 2.8997 2.8997 5.6902 75.24 75.24 60.00
With the nearest neighbours (Å) after each atom.
Positions (direct):
Re1 0.6676 0.6676 0.9973  6 N 2.08
Li1 0.4971 0.4971 0.5088  6 N 2.19-2.28
N1 0.0768 0.0768 0.7696  3 Re 2.08, 3 Li 2.19
N2 0.2586 0.2586 0.2243  3 Re 2.08, 3 Li 2.28

***

[6]
Here is crystalline LiReN2 at its relaxed geometry from Alexandria. Energies are from PBE-GGA.

Summary:
Formation energy (no corrections): -82 kJ/mol of formula units
Energy relative to the lowest polymorph listed for this composition: 0.029 eV/atom
Raw total energy: -31.86 eV/f.u.
D(E_F): 0.213 states/eV/atom
SG: I-42d, No. 122

Lattice parameters (Å, degrees): 4.6631 4.6631 5.7101 65.90 65.90 90.00
With the nearest neighbours (Å) after each atom.
Positions (direct):
Li1 0.5000 0.5000 0.0000  4 N 2.15
Li2 0.2500 0.7500 0.5000  4 N 2.15
N1 0.6726 0.1250 0.2500  2 Re 1.90
N2 0.8750 0.9226 0.7500  2 Re 1.90
N3 0.0774 0.6250 0.2500  2 Re 1.90
N4 0.3750 0.3274 0.7500  2 Re 1.90
Re1 0.0000 0.0000 0.0000  4 N 1.90
Re2 0.7500 0.2500 0.5000  4 N 1.90

***

[7]
Here is crystalline Li3Re2N4 at its relaxed geometry from Alexandria. Energies are from PBE-GGA.

Summary:
Formation energy (no corrections): -260 kJ/mol of formula units
Raw total energy: -66.64 eV/f.u.
D(E_F): 0.350 states/eV/atom
SG: C2/m, No. 12

Lattice parameters (Å, degrees): 2.8648 5.5606 6.6072 78.89 77.48 75.07
With the nearest neighbours (Å) after each atom.
Positions (direct):
Re1 0.7860 0.0946 0.3334  5 N 2.01-2.12
Re2 0.2140 0.9054 0.6666  5 N 2.01-2.12
N1 0.7527 0.6825 0.8121  2 Re 2.01, 3 Li 2.06-2.08
N2 0.4102 0.8019 0.3777  3 Re 2.02-2.12, 3 Li 2.04-2.22
N3 0.5898 0.1981 0.6223  3 Re 2.02-2.12, 3 Li 2.04-2.22
N4 0.2473 0.3175 0.1879  2 Re 2.01, 3 Li 2.06-2.08
Li1 0.0000 0.5000 0.5000  6 N 2.22-2.36
Li2 0.6332 0.5993 0.1342  4 N 2.04-2.08
Li3 0.3668 0.4007 0.8658  4 N 2.04-2.08

***

[8]
Here is crystalline Li3ReN2 at its relaxed geometry from Alexandria. Energies are from PBE-GGA.

Summary:
Formation energy (no corrections): -190 kJ/mol of formula units
Raw total energy: -36.81 eV/f.u.
D(E_F): 0.181 states/eV/atom
SG: I4_1/amd, No. 141

Lattice parameters (Å, degrees): 7.5715 7.5715 7.5715 123.25 123.25 84.45
With the nearest neighbours (Å) after each atom.
Positions (direct):
Re1 0.3833 0.3833 0.0000  2 N 1.81
Re2 0.6167 0.6167 0.0000  2 N 1.81
Re3 0.1333 0.6333 0.5000  2 N 1.81
Re4 0.3667 0.8667 0.5000  2 N 1.81
Li1 0.8678 0.3678 0.5000  2 N 2.07
Li2 0.7434 0.2566 0.0000  2 N 1.98
Li3 0.7434 0.7434 0.4867  2 N 1.98
Li4 0.0066 0.9934 0.5000  2 N 1.98
Li5 0.4934 0.9934 0.9867  2 N 1.98
Li6 0.2566 0.7434 0.0000  2 N 1.98
Li7 0.1178 0.1178 0.0000  2 N 2.07
Li8 0.4934 0.5066 0.5000  2 N 1.98
Li9 0.6322 0.1322 0.5000  2 N 2.07
Li10 0.0066 0.5066 0.0133  2 N 1.98
Li11 0.8822 0.8822 0.0000  2 N 2.07
Li12 0.2566 0.2566 0.5133  2 N 1.98
N1 0.6877 0.9141 0.2264  1 Re 1.81, 2 Li 1.98
N2 0.5386 0.3123 0.2264  1 Re 1.81, 2 Li 1.98
N3 0.2114 0.9377 0.2736  1 Re 1.81, 2 Li 1.98
N4 0.0859 0.3123 0.7736  1 Re 1.81, 2 Li 1.98
N5 0.6877 0.4614 0.7736  1 Re 1.81, 2 Li 1.98
N6 0.0623 0.3359 0.2736  1 Re 1.81, 2 Li 1.98
N7 0.0623 0.7886 0.7264  1 Re 1.81, 2 Li 1.98
N8 0.6641 0.9377 0.7264  1 Re 1.81, 2 Li 1.98

***

[9]
Here is crystalline LiRe3N at its relaxed geometry from Alexandria. Energies are from PBE-GGA.

Summary:
Formation energy (no corrections): 193 kJ/mol of formula units
Energy relative to the lowest polymorph listed for this composition: 0.000 eV/atom
Raw total energy: -45.58 eV/f.u.
D(E_F): 0.567 states/eV/atom
SG: Pm-3m, No. 221

Lattice parameters (Å, degrees): 4.0438 4.0438 4.0438 90.00 90.00 90.00
With the nearest neighbours (Å) after each atom.
Positions (direct):
Re1 0.0000 0.0000 0.5000  2 N 2.02
Re2 0.5000 0.0000 0.0000  2 N 2.02
Re3 0.0000 0.5000 0.0000  2 N 2.02
N1 0.0000 0.0000 0.0000  6 Re 2.02
Li1 0.5000 0.5000 0.5000  12 Re 2.86

***

[10]
Here is crystalline Li5Re2N6 at its relaxed geometry from Alexandria. Energies are from PBE-GGA.

Summary:
Formation energy (no corrections): -492 kJ/mol of formula units
Raw total energy: -89.52 eV/f.u.
D(E_F): 0.058 states/eV/atom
SG: C2/c, No. 15

Lattice parameters (Å, degrees): 5.5788 5.5788 12.1638 76.86 76.86 76.40
With the nearest neighbours (Å) after each atom.
Positions (direct):
Re1 0.3259 0.0948 0.5875  3 N 1.76-1.96
Re2 0.0948 0.3259 0.0875  3 N 1.76-1.96
Re3 0.9052 0.6741 0.9125  3 N 1.76-1.96
Re4 0.6741 0.9052 0.4125  3 N 1.76-1.96
N1 0.7942 0.5841 0.8038  1 Re 1.79
N2 0.8386 0.0049 0.8889  1 Re 1.76
N3 0.7521 0.4998 0.0616  2 Re 1.96-1.99, 1 Li 2.15
N4 0.9951 0.1614 0.6111  1 Re 1.76
N5 0.4998 0.7521 0.5616  2 Re 1.96-1.99, 1 Li 2.15
N6 0.5841 0.7942 0.3038  1 Re 1.79
N7 0.0049 0.8386 0.3889  1 Re 1.76
N8 0.2058 0.4159 0.1962  1 Re 1.79
N9 0.2479 0.5002 0.9384  2 Re 1.96-1.99, 1 Li 2.15
N10 0.4159 0.2058 0.6962  1 Re 1.79
N11 0.1614 0.9951 0.1111  1 Re 1.76
N12 0.5002 0.2479 0.4384  2 Re 1.96-1.99, 1 Li 2.15
Li1 0.2596 0.0286 0.2698  4 N 2.03-2.18
Li2 0.3035 0.6254 0.4496  2 N 1.99-2.15
Li3 0.5265 0.4735 0.2500  4 N 2.15-2.34
Li4 0.3746 0.6965 0.0504  2 N 1.99-2.15
Li5 0.0286 0.2596 0.7698  4 N 2.03-2.18
Li6 0.6965 0.3746 0.5504  2 N 1.99-2.15
Li7 0.4735 0.5265 0.7500  4 N 2.15-2.34
Li8 0.7404 0.9714 0.7302  4 N 2.03-2.18
Li9 0.6254 0.3035 0.9496  2 N 1.99-2.15
Li10 0.9714 0.7404 0.2302  4 N 2.03-2.18

***

[11]
Here is crystalline LiReN2 at its relaxed geometry from Alexandria. Energies are from PBE-GGA.

Summary:
Formation energy (no corrections): -73 kJ/mol of formula units
Energy relative to the lowest polymorph listed for this composition: 0.052 eV/atom
Raw total energy: -31.77 eV/f.u.
D(E_F): 0.443 states/eV/atom
SG: Pna2_1, No. 33

Lattice parameters (Å, degrees): 5.6067 6.5509 5.5558 90.00 90.00 90.00
With the nearest neighbours (Å) after each atom.
Positions (direct):
Li1 0.0880 0.1233 0.0046  4 N 2.11-2.21
Li2 0.5880 0.3767 0.0046  4 N 2.11-2.21
Li3 0.9120 0.8767 0.5046  4 N 2.11-2.21
Li4 0.4120 0.6233 0.5046  4 N 2.11-2.21
N1 0.8943 0.8618 0.9011  2 Re 1.89-1.94, 1 Li 2.11
N2 0.6057 0.3618 0.4011  2 Re 1.89-1.94, 1 Li 2.11
N3 0.1057 0.1382 0.4011  2 Re 1.89-1.94, 1 Li 2.11
N4 0.9473 0.3990 0.8512  2 Re 1.89
N5 0.5527 0.8990 0.3512  2 Re 1.89
N6 0.0527 0.6010 0.3512  2 Re 1.89
N7 0.3943 0.6382 0.9011  2 Re 1.89-1.94, 1 Li 2.11
N8 0.4473 0.1010 0.8512  2 Re 1.89
Re1 0.0663 0.6318 0.0130  4 N 1.89-1.94
Re2 0.5663 0.8682 0.0130  4 N 1.89-1.94
Re3 0.4337 0.1318 0.5130  4 N 1.89-1.94
Re4 0.9337 0.3682 0.5130  4 N 1.89-1.94

***

[12]
Here is crystalline LiRe3N6 at its relaxed geometry from Alexandria. Energies are from PBE-GGA.

Summary:
Formation energy (no corrections): 236 kJ/mol of formula units
Raw total energy: -86.77 eV/f.u.
D(E_F): 0.406 states/eV/atom
SG: P2_1/c, No. 14

Lattice parameters (Å, degrees): 5.0050 4.8432 9.9363 61.73 90.00 90.00
With the nearest neighbours (Å) after each atom.
Positions (direct):
N1 0.6073 0.9843 0.2070  3 Re 1.90-2.12
N2 0.1896 0.4157 0.4013  1 Li 1.98, 3 Re 2.01-2.10
N3 0.3927 0.0157 0.7930  3 Re 1.90-2.12
N4 0.8015 0.2945 0.8870  3 Re 2.00-2.04, 1 Li 2.07
N5 0.6985 0.2945 0.3870  3 Re 2.00-2.04, 1 Li 2.07
N6 0.1073 0.0157 0.2930  3 Re 1.90-2.12
N7 0.8927 0.9843 0.7070  3 Re 1.90-2.12
N8 0.6896 0.5843 0.0987  1 Li 1.98, 3 Re 2.01-2.10
N9 0.1985 0.7055 0.1130  3 Re 2.00-2.04, 1 Li 2.07
N10 0.3015 0.7055 0.6130  3 Re 2.00-2.04, 1 Li 2.07
N11 0.8104 0.5843 0.5987  1 Li 1.98, 3 Re 2.01-2.10
N12 0.3104 0.4157 0.9013  1 Li 1.98, 3 Re 2.01-2.10
Re1 0.8899 0.6908 0.2499  6 N 1.90-2.12
Re2 0.3899 0.3092 0.2501  6 N 1.90-2.12
Re3 0.5000 0.0000 0.0000  6 N 2.01-2.09
Re4 0.6101 0.6908 0.7499  6 N 1.90-2.12
Re5 0.1101 0.3092 0.7501  6 N 1.90-2.12
Re6 0.0000 0.0000 0.5000  6 N 2.01-2.09
Li1 0.0000 0.5000 0.0000  4 N 1.98-2.07
Li2 0.5000 0.5000 0.5000  4 N 1.98-2.07

***

What did the fifth record say?
Here is crystalline LiReN2 at its relaxed geometry from Alexandria. Energies are from PBE-GGA.

Summary:
Formation energy (no corrections): -68 kJ/mol of formula units
Energy relative to the lowest polymorph listed for this composition: 0.064 eV/atom
Raw total energy: -31.72 eV/f.u.
D(E_F): 0.346 states/eV/atom
SG: R3m, No. 160

Lattice parameters (Å, degrees): 2.8997 2.8997 5.6902 75.24 75.24 60.00
With the nearest neighbours (Å) after each atom.
Positions (direct):
Re1 0.6676 0.6676 0.9973  6 N 2.08
Li1 0.4971 0.4971 0.5088  6 N 2.19-2.28
N1 0.0768 0.0768 0.7696  3 Re 2.08, 3 Li 2.19
N2 0.2586 0.2586 0.2243  3 Re 2.08, 3 Li 2.28

***

The lowest formation energy (no corrections) belongs to which entry?
Li14Re2N9